# 1
LaCdNi2 (GGA-PBE, optimized geometry); volume = 76.3 Å³/f.u.; calculated formation energy = -31 meV per atom; E_tot = -17.53 eV per cell
1.0
-2.891 1.439 0.524
0.213 -0.731 3.181
3.303 6.198 1.203
Cd La Ni
1 1 2
Direct
0.000 0.000 0.432 Cd
0.500 0.500 0.808 La
0.000 0.000 0.062 Ni
0.500 0.500 0.198 Ni

# 2
La8Cd3Ni2 (GGA-PBE, optimized geometry); volume = 374.1 Å³/f.u.; calculated formation energy = -155 meV per atom; E_tot = -55.74 eV per cell
1.0
3.960 -0.190 -0.581
-0.205 9.918 -4.643
-0.533 -1.271 10.226
La Cd Ni
8 3 2
Direct
0.297 0.580 0.160 La
0.703 0.420 0.840 La
0.234 0.173 0.345 La
0.766 0.827 0.655 La
0.291 0.105 0.672 La
0.291 0.568 0.672 La
0.709 0.432 0.328 La
0.709 0.895 0.328 La
0.500 0.000 0.000 Cd
0.000 0.780 0.000 Cd
0.000 0.220 0.000 Cd
0.886 0.285 0.571 Ni
0.114 0.715 0.429 Ni

# 3
La4CdNi (GGA-PBE, optimized geometry); volume = 178.9 Å³/f.u.; calculated formation energy = -254 meV per atom; E_tot = -111.71 eV per cell
1.0
-3.250 4.103 8.568
-2.778 -5.883 7.647
5.671 -0.495 8.270
La Cd Ni
16 4 4
Direct
0.597 0.597 0.597 La
0.597 0.597 0.208 La
0.597 0.208 0.597 La
0.208 0.597 0.597 La
0.058 0.442 0.442 La
0.442 0.058 0.058 La
0.442 0.058 0.442 La
0.058 0.442 0.058 La
0.442 0.442 0.058 La
0.058 0.058 0.442 La
0.188 0.812 0.812 La
0.812 0.188 0.188 La
0.812 0.188 0.812 La
0.188 0.812 0.188 La
0.812 0.812 0.188 La
0.188 0.188 0.812 La
0.829 0.829 0.829 Cd
0.829 0.829 0.513 Cd
0.829 0.513 0.829 Cd
0.513 0.829 0.829 Cd
0.392 0.392 0.392 Ni
0.392 0.392 0.823 Ni
0.392 0.823 0.392 Ni
0.823 0.392 0.392 Ni

# 4
La2CdNi9 (GGA-PBE, optimized geometry); volume = 177.9 Å³/f.u.; calculated formation energy = -171 meV per atom; E_tot = -64.86 eV per cell
1.0
4.977 0.000 0.000
2.489 4.310 0.000
2.489 1.437 8.292
La Cd Ni
2 1 9
Direct
0.865 0.865 0.404 La
0.135 0.135 0.596 La
0.000 0.000 0.000 Cd
0.667 0.667 0.998 Ni
0.333 0.333 0.002 Ni
0.500 0.500 0.500 Ni
0.421 0.421 0.238 Ni
0.920 0.421 0.238 Ni
0.421 0.920 0.238 Ni
0.579 0.579 0.762 Ni
0.579 0.080 0.762 Ni
0.080 0.579 0.762 Ni

# 5
La2CdNi (GGA-PBE, optimized geometry); volume = 92.8 Å³/f.u.; calculated formation energy = -115 meV per atom; E_tot = -17.01 eV per cell
1.0
-2.992 0.489 -4.079
0.108 -5.035 -0.687
-1.461 1.926 4.471
Cd La Ni
1 2 1
Direct
0.750 0.250 0.500 Cd
0.000 0.000 0.000 La
0.250 0.750 0.500 La
0.500 0.500 0.000 Ni

# 6
LaCdNi (GGA-PBE, optimized geometry); volume = 75.1 Å³/f.u.; calculated formation energy = -225 meV per atom; E_tot = -12.30 eV per cell
1.0
0.000 3.349 3.349
3.349 0.000 3.349
3.349 3.349 0.000
La Cd Ni
1 1 1
Direct
0.500 0.500 0.500 La
0.000 0.000 0.000 Cd
0.750 0.750 0.750 Ni

# 7
LaCd3Ni (GGA-PBE, optimized geometry); volume = 123.0 Å³/f.u.; calculated formation energy = -116 meV per atom; E_tot = -14.03 eV per cell
1.0
4.974 0.000 0.000
0.000 4.974 0.000
0.000 0.000 4.974
Ni Cd La
1 3 1
Direct
0.000 0.000 0.000 Ni
0.000 0.500 0.000 Cd
0.000 0.000 0.500 Cd
0.500 0.000 0.000 Cd
0.500 0.500 0.500 La

# 8
La2CdNi2 (GGA-PBE, optimized geometry); volume = 119.5 Å³/f.u.; calculated formation energy = -246 meV per atom; E_tot = -23.56 eV per cell
1.0
5.523 0.000 0.000
0.000 5.523 0.000
2.761 2.761 3.918
Ni Cd La
2 1 2
Direct
0.350 0.350 0.300 Ni
0.650 0.650 0.700 Ni
0.000 0.000 0.000 Cd
0.750 0.250 0.500 La
0.250 0.750 0.500 La

# 9
LaCd2Ni2 (GGA-PBE, optimized geometry); volume = 96.3 Å³/f.u.; calculated formation energy = 22 meV per atom; E_tot = -36.42 eV per cell
1.0
-1.035 -7.916 0.588
6.584 -0.525 4.522
-1.665 0.401 2.471
Ni Cd La
4 4 2
Direct
0.177 0.677 0.500 Ni
0.677 0.823 0.500 Ni
0.823 0.323 0.500 Ni
0.323 0.177 0.500 Ni
0.378 0.878 0.000 Cd
0.878 0.622 0.000 Cd
0.622 0.122 0.000 Cd
0.122 0.378 0.000 Cd
0.000 0.000 0.000 La
0.500 0.500 0.000 La

# 10
La2CdNi (GGA-PBE, optimized geometry); volume = 120.0 Å³/f.u.; calculated formation energy = -206 meV per atom; E_tot = -17.37 eV per cell
1.0
-0.207 -2.328 -3.420
1.267 -3.943 0.098
-7.099 -4.434 0.939
La Cd Ni
2 1 1
Direct
0.065 0.065 0.806 La
0.269 0.269 0.192 La
0.500 0.500 0.500 Cd
0.666 0.666 0.003 Ni

# 11
La2CdNi2 (GGA-PBE, optimized geometry); volume = 116.4 Å³/f.u.; calculated formation energy = -393 meV per atom; E_tot = -24.30 eV per cell
1.0
-5.264 3.427 4.381
3.568 -6.394 -2.244
2.667 0.501 2.814
La Cd Ni
2 1 2
Direct
0.638 0.362 0.500 La
0.362 0.638 0.500 La
0.000 0.000 0.000 Cd
0.800 0.200 0.000 Ni
0.200 0.800 0.000 Ni

# 12
LaCdNi2 (GGA-PBE, optimized geometry); volume = 74.8 Å³/f.u.; calculated formation energy = -54 meV per atom; E_tot = -17.62 eV per cell
1.0
5.429 -0.001 0.020
4.474 3.076 0.020
1.261 0.392 4.484
Cd La Ni
1 1 2
Direct
0.476 0.476 0.562 Cd
0.256 0.256 0.215 La
0.038 0.038 0.992 Ni
0.729 0.729 0.731 Ni